# La3Tb6Th

La3Tb6Th after structural relaxation (GGA-PBE, the Alexandria database).

Unit cell a=9.9895 b=9.9895 c=6.9873 alpha=44.37 beta=44.37 gamma=60.00
With the nearest neighbours (Å) after each atom.
Positions (direct):
Tb1 0.3990 0.7291 0.8004  3 La 3.28-3.52
La1 0.1576 0.1576 0.5273  1 La 2.86, 1 Th 3.07
Tb2 0.5781 0.2242 0.2975  1 Th 3.23, 2 La 3.49-3.51
Tb3 0.2242 0.9002 0.2975  1 Th 3.23, 2 La 3.49-3.51
La2 0.3993 0.3993 0.8021  2 La 2.86-2.88
Th1 0.8981 0.8981 0.3058  2 La 3.02-3.07, 3 Tb 3.23
La3 0.6430 0.6430 0.0710  1 La 2.88, 1 Th 3.02
Tb4 0.0714 0.3990 0.8004  3 La 3.28-3.52
Tb5 0.7291 0.0714 0.8004  3 La 3.28-3.52
Tb6 0.9002 0.5781 0.2975  1 Th 3.23, 2 La 3.49-3.51

Values from the calculation:
The formation energy is 288 kJ/mol of formula units.

=====

# GeBiCl3

GeBiCl3 after structural relaxation (GGA-PBE, the Alexandria database).

Unit cell a=5.5137 b=5.5137 c=5.5137 alpha=90.00 beta=90.00 gamma=90.00
With the nearest neighbours (Å) after each atom.
Positions (direct):
Cl1 0.0000 0.5000 0.0000  2 Bi 2.76
Bi1 0.0000 0.0000 0.0000  6 Cl 2.76
Cl2 0.5000 0.0000 0.0000  2 Bi 2.76
Ge1 0.5000 0.5000 0.5000  12 Cl 3.90
Cl3 0.0000 0.0000 0.5000  2 Bi 2.76

Values from the calculation:
The value obtained for the polymorph energy (0 for the lowest one) is 163 meV per atom. For the formation energy from raw total energies, the calculation gives -37 kJ/mol of formula units.

=====

# K3Dy3TiS8

K3Dy3TiS8 after structural relaxation (GGA-PBE, the Alexandria database).

Unit cell a=7.8472 b=7.8471 c=8.7655 alpha=116.60 beta=90.00 gamma=120.00
With the nearest neighbours (Å) after each atom.
Positions (direct):
K1 0.0000 0.0000 0.0000  6 S 3.18-3.20
Ti1 0.0000 0.0000 0.5000  6 S 2.51
S1 0.7342 0.4685 0.7026  3 Dy 2.73
Dy1 0.5000 0.0000 0.5000  6 S 2.73-2.75
S2 0.2430 0.0276 0.3123  1 Ti 2.51, 2 Dy 2.75
S3 0.7570 0.9724 0.6877  1 Ti 2.51, 2 Dy 2.75
S4 0.2154 0.9724 0.6877  1 Ti 2.51, 2 Dy 2.75
K2 0.0000 0.5000 0.0000  6 S 3.18-3.20
S5 0.2154 0.4309 0.6878  1 Ti 2.51, 2 Dy 2.75
S6 0.7846 0.5691 0.3122  1 Ti 2.51, 2 Dy 2.75
Dy2 0.5000 0.5000 0.5000  6 S 2.73-2.75
K3 0.5000 0.5000 0.0000  6 S 3.18-3.20
S7 0.7846 0.0276 0.3123  1 Ti 2.51, 2 Dy 2.75
S8 0.2658 0.5315 0.2974  3 Dy 2.73
Dy3 0.0000 0.5000 0.5000  6 S 2.73-2.75

Values from the calculation:
For the formation energy from raw total energies, the calculation gives -2523 kJ/mol of formula units.

=====

# MnIn2P

MnIn2P after structural relaxation (GGA-PBE, the Alexandria database).

Unit cell a=8.0778 b=8.0778 c=8.0778 alpha=154.79 beta=157.71 gamma=33.90
With the nearest neighbours (Å) after each atom.
Positions (direct):
P1 0.2500 0.7500 0.5000  4 Mn 2.35
Mn1 0.7500 0.2500 0.5000  4 P 2.35
In1 0.0805 0.0805 0.0000  2 Mn 3.05, 2 In 3.12, 2 P 3.16
In2 0.4195 0.4195 0.0000  2 Mn 3.05, 2 In 3.12, 2 P 3.16

Values from the calculation:
The formation energy is 16 kJ/mol of formula units.

=====

# K2Ag4Sn5

K2Ag4Sn5 after structural relaxation (GGA-PBE, the Alexandria database).

Unit cell a=6.4126 b=7.3874 c=7.4110 alpha=78.57 beta=64.36 gamma=64.28
With the nearest neighbours (Å) after each atom.
Positions (direct):
Ag1 0.7511 0.5875 0.9104  3 Sn 2.81-2.90, 1 Ag 3.02
Sn1 0.2422 0.1738 0.8270  4 Ag 2.90-3.24, 1 Sn 3.11
Ag2 0.2489 0.4125 0.0896  3 Sn 2.81-2.90, 1 Ag 3.02
K1 0.6928 0.3070 0.3074  6 Ag 3.22-3.59
Sn2 0.7578 0.8262 0.1730  4 Ag 2.90-3.24, 1 Sn 3.11
Ag3 0.2499 0.0894 0.4108  3 Sn 2.80-2.90, 1 Ag 3.02
Sn3 0.0000 0.5000 0.5000  4 Ag 2.80-2.81
K2 0.3072 0.6930 0.6926  6 Ag 3.22-3.59
Sn4 0.7569 0.1738 0.8270  4 Ag 2.90-3.24, 1 Sn 3.11
Sn5 0.2431 0.8262 0.1730  4 Ag 2.90-3.24, 1 Sn 3.11
Ag4 0.7501 0.9106 0.5892  3 Sn 2.80-2.90, 1 Ag 3.02

Values from the calculation:
The formation energy is -57 kJ/mol of formula units.

=====

# Pm2YCu

Pm2YCu after structural relaxation (GGA-PBE, the Alexandria database).

Unit cell a=6.5382 b=7.0083 c=9.9588 alpha=90.00 beta=90.00 gamma=90.00
With the nearest neighbours (Å) after each atom.
Positions (direct):
Cu1 0.9458 0.5992 0.7500  2 Y 2.85-2.92, 4 Pm 2.91-2.95
Pm1 0.6802 0.8060 0.5599  2 Cu 2.91-2.95
Y1 0.6387 0.5248 0.2500  2 Cu 2.85-2.92
Cu2 0.4458 0.9008 0.2500  2 Y 2.85-2.92, 4 Pm 2.91-2.95
Y2 0.3613 0.4752 0.7500  2 Cu 2.85-2.92
Pm2 0.6802 0.8060 0.9401  2 Cu 2.91-2.95
Cu3 0.0542 0.4008 0.2500  2 Y 2.85-2.92, 4 Pm 2.91-2.95
Pm3 0.3198 0.1940 0.0599  2 Cu 2.91-2.95
Pm4 0.8198 0.3060 0.9401  2 Cu 2.91-2.95
Pm5 0.3198 0.1940 0.4401  2 Cu 2.91-2.95
Cu4 0.5542 0.0992 0.7500  2 Y 2.85-2.92, 4 Pm 2.91-2.95
Pm6 0.8198 0.3060 0.5599  2 Cu 2.91-2.95
Pm7 0.1802 0.6940 0.0599  2 Cu 2.91-2.95
Pm8 0.1802 0.6940 0.4401  2 Cu 2.91-2.95
Y3 0.8613 0.0248 0.2500  2 Cu 2.85-2.92
Y4 0.1387 0.9752 0.7500  2 Cu 2.85-2.92

Values from the calculation:
The value obtained for the polymorph energy (0 for the lowest one) is 0 meV per atom. The formation energy is -30 kJ/mol of formula units.

=====

# Nd4Dy5Ag

Nd4Dy5Ag after structural relaxation (GGA-PBE, the Alexandria database).

Unit cell a=3.6121 b=3.6121 c=24.1625 alpha=90.00 beta=90.00 gamma=90.00
With the nearest neighbours (Å) after each atom.
Positions (direct):
Dy1 0.5000 0.5000 0.2887  8 Nd 3.60-3.62, 4 Dy 3.61
Dy2 0.5000 0.5000 0.0768  4 Ag 3.16
Ag1 0.0000 0.0000 0.0000  8 Dy 3.16
Nd1 0.0000 0.0000 0.3947  8 Dy 3.61-3.62, 4 Nd 3.61
Nd2 0.0000 0.0000 0.1839  8 Dy 3.60-3.64, 4 Nd 3.61
Nd3 0.0000 0.0000 0.8161  8 Dy 3.60-3.64, 4 Nd 3.61
Nd4 0.0000 0.0000 0.6053  8 Dy 3.61-3.62, 4 Nd 3.61
Dy3 0.5000 0.5000 0.7113  8 Nd 3.60-3.62, 4 Dy 3.61
Dy4 0.5000 0.5000 0.5000  8 Nd 3.61, 4 Dy 3.61
Dy5 0.5000 0.5000 0.9232  4 Ag 3.16

Values from the calculation:
The formation energy is -42 kJ/mol of formula units.

=====

# UMoOs2

UMoOs2 after structural relaxation (GGA-PBE, the Alexandria database).

Unit cell a=2.8173 b=2.8173 c=9.6942 alpha=81.64 beta=81.64 gamma=60.00
With the nearest neighbours (Å) after each atom.
Positions (direct):
Mo1 0.0000 0.0000 0.0000  6 Os 2.73, 6 Mo 2.82
Os1 0.7430 0.7430 0.7710  3 Mo 2.73, 6 Os 2.82
Os2 0.2570 0.2570 0.2290  3 Mo 2.73, 6 Os 2.82
U1 0.5000 0.5000 0.5000  6 U 2.82, 6 Os 3.06

Values from the calculation:
The value obtained for the polymorph energy (0 for the lowest one) is 197 meV per atom. The formation energy is 82 kJ/mol of formula units.

=====

# CrSb2MoIr

CrSb2MoIr after structural relaxation (GGA-PBE, the Alexandria database).

Unit cell a=5.1086 b=4.7882 c=5.1086 alpha=90.00 beta=90.00 gamma=90.00
With the nearest neighbours (Å) after each atom.
Positions (direct):
Sb1 0.0000 0.0000 0.5000  2 Mo 2.55
Cr1 0.5000 0.5000 0.5000  8 Sb 3.50, 4 Ir 3.61
Mo1 0.0000 0.0000 0.0000  2 Ir 2.39, 4 Sb 2.55
Sb2 0.5000 0.0000 0.0000  2 Mo 2.55
Ir1 0.0000 0.5000 0.0000  2 Mo 2.39

Values from the calculation:
For the formation energy from raw total energies, the calculation gives 776 kJ/mol of formula units.

=====

# Mg5AgSn4

Mg5AgSn4 after structural relaxation (GGA-PBE, the Alexandria database).

Unit cell a=3.3696 b=3.3696 c=20.1907 alpha=90.00 beta=90.00 gamma=90.00
With the nearest neighbours (Å) after each atom.
Positions (direct):
Mg1 0.5000 0.5000 0.7100  8 Sn 3.19-3.21, 4 Mg 3.37
Mg2 0.5000 0.5000 0.9203  4 Ag 2.87, 4 Sn 3.17, 1 Mg 3.22
Sn1 0.0000 0.0000 0.8169  8 Mg 3.17-3.21, 4 Sn 3.37
Mg3 0.5000 0.5000 0.2900  8 Sn 3.19-3.21, 4 Mg 3.37
Sn2 0.0000 0.0000 0.3947  8 Mg 3.19, 4 Sn 3.37
Sn3 0.0000 0.0000 0.1831  8 Mg 3.17-3.21, 4 Sn 3.37
Ag1 0.0000 0.0000 0.0000  8 Mg 2.87
Mg4 0.5000 0.5000 0.0797  4 Ag 2.87, 4 Sn 3.17, 1 Mg 3.22
Sn4 0.0000 0.0000 0.6053  8 Mg 3.19, 4 Sn 3.37
Mg5 0.5000 0.5000 0.5000  8 Sn 3.19, 4 Mg 3.37

Values from the calculation:
The formation energy is -142 kJ/mol of formula units.

=====

# Cs2Sm2MnSe6

Cs2Sm2MnSe6 after structural relaxation (GGA-PBE, the Alexandria database).

Unit cell a=7.0774 b=7.0774 c=8.9107 alpha=98.43 beta=98.43 gamma=119.18
With the nearest neighbours (Å) after each atom.
Positions (direct):
Se1 0.3613 0.0671 0.6784  1 Mn 2.59
Se2 0.2299 0.2299 0.3253  1 Mn 2.57
Se3 0.0671 0.3613 0.6784  1 Mn 2.59
Cs1 0.1746 0.8254 0.0000  6 Se 3.59-3.71
Mn1 0.0000 0.0000 0.5000  6 Se 2.57-2.59
Sm1 0.3323 0.6677 0.5000  6 Se 2.93-2.94
Sm2 0.6677 0.3323 0.5000  6 Se 2.93-2.94
Se4 0.6387 0.9329 0.3216  1 Mn 2.59
Se5 0.7701 0.7701 0.6747  1 Mn 2.57
Cs2 0.8254 0.1746 0.0000  6 Se 3.59-3.71
Se6 0.9329 0.6387 0.3216  1 Mn 2.59

Values from the calculation:
For the formation energy from raw total energies, the calculation gives -1379 kJ/mol of formula units.

=====

# LiMnN

LiMnN after structural relaxation (GGA-PBE, the Alexandria database).

Unit cell a=3.4679 b=3.5345 c=3.6182 alpha=90.00 beta=90.00 gamma=119.38
With the nearest neighbours (Å) after each atom.
Positions (direct):
Li1 0.9972 0.9944 0.5000  3 N 2.03
N1 0.6680 0.3359 0.5000  2 Mn 1.81
Mn1 0.6682 0.3364 0.0000  2 N 1.81

Values from the calculation:
For the formation energy from raw total energies, the calculation gives -26 kJ/mol of formula units.

=====

# Pm12Sb2Pb5

Pm12Sb2Pb5 after structural relaxation (GGA-PBE, the Alexandria database).

Unit cell a=8.0675 b=9.5918 c=9.9709 alpha=101.89 beta=90.00 gamma=114.87
With the nearest neighbours (Å) after each atom.
Positions (direct):
Pm1 0.0871 0.6457 0.8957  1 Sb 3.03, 3 Pb 3.15-3.32
Pm2 0.4891 0.9783 0.7666  2 Sb 3.15, 1 Pb 3.18
Pm3 0.9165 0.8329 0.1828  1 Pb 3.17, 2 Sb 3.18
Pm4 0.4109 0.2751 0.5549  4 Pb 3.21-3.29
Pm5 0.5586 0.6457 0.8957  1 Sb 3.03, 3 Pb 3.15-3.32
Pb1 0.6765 0.3531 0.8311  7 Pm 3.18-3.32
Pm6 0.5109 0.0217 0.2334  2 Sb 3.15, 1 Pb 3.18
Pb2 0.7195 0.4390 0.3630  6 Pm 3.15-3.29
Pm7 0.4414 0.3543 0.1043  1 Sb 3.03, 3 Pb 3.15-3.32
Sb1 0.7684 0.0000 0.0000  6 Pm 3.03-3.18
Pm8 0.9129 0.3543 0.1043  1 Sb 3.03, 3 Pb 3.15-3.32
Pb3 0.2805 0.5610 0.6370  6 Pm 3.15-3.29
Pm9 0.8642 0.2751 0.5549  4 Pb 3.21-3.29
Pm10 0.5891 0.7249 0.4451  4 Pb 3.21-3.29
Pm11 0.0835 0.1671 0.8172  1 Pb 3.17, 2 Sb 3.18
Pb4 0.0000 0.0000 0.5000  6 Pm 3.17-3.21
Pm12 0.1358 0.7249 0.4451  4 Pb 3.21-3.29
Sb2 0.2316 0.0000 0.0000  6 Pm 3.03-3.18
Pb5 0.3235 0.6469 0.1689  7 Pm 3.18-3.32

Values from the calculation:
For the formation energy from raw total energies, the calculation gives -668 kJ/mol of formula units.

=====

# Ca2TiF

Ca2TiF after structural relaxation (GGA-PBE, the Alexandria database).

Unit cell a=5.3692 b=5.3692 c=5.3692 alpha=60.00 beta=60.00 gamma=60.00
With the nearest neighbours (Å) after each atom.
Positions (direct):
Ca1 0.2500 0.2500 0.2500  4 Ti 3.29, 4 F 3.29
F1 0.0000 0.0000 0.0000  8 Ca 3.29
Ti1 0.5000 0.5000 0.5000  8 Ca 3.29
Ca2 0.7500 0.7500 0.7500  4 Ti 3.29, 4 F 3.29

Values from the calculation:
For the formation energy from raw total energies, the calculation gives -42 kJ/mol of formula units.

=====

# Li3AuC

Li3AuC after structural relaxation (GGA-PBE, the Alexandria database).

Unit cell a=4.0382 b=4.0382 c=4.0382 alpha=90.00 beta=90.00 gamma=90.00
With the nearest neighbours (Å) after each atom.
Positions (direct):
C1 0.0000 0.0000 0.0000  6 Li 2.02
Au1 0.5000 0.5000 0.5000  12 Li 2.86
Li1 0.5000 0.0000 0.0000  2 C 2.02
Li2 0.0000 0.5000 0.0000  2 C 2.02
Li3 0.0000 0.0000 0.5000  2 C 2.02

Values from the calculation:
The value obtained for the polymorph energy (0 for the lowest one) is 0 meV per atom. The formation energy is 175 kJ/mol of formula units.

=====

# TlTcP

TlTcP after structural relaxation (GGA-PBE, the Alexandria database).

Unit cell a=4.3752 b=4.3752 c=4.3752 alpha=60.00 beta=60.00 gamma=60.00
With the nearest neighbours (Å) after each atom.
Positions (direct):
P1 0.5000 0.5000 0.5000  4 Tc 2.68
Tl1 0.0000 0.0000 0.0000  4 Tc 2.68
Tc1 0.2500 0.2500 0.2500  4 Tl 2.68, 4 P 2.68

Values from the calculation:
The value obtained for the polymorph energy (0 for the lowest one) is 613 meV per atom. The formation energy is 190 kJ/mol of formula units.

=====

# BiH12Br6

BiH12Br6 after structural relaxation (GGA-PBE, the Alexandria database).

Unit cell a=9.0506 b=9.0506 c=9.0506 alpha=112.85 beta=112.85 gamma=112.85
With the nearest neighbours (Å) after each atom.
Positions (direct):
H1 0.0958 0.0800 0.2650  1 Bi 1.89
H2 0.1070 0.5325 0.7652  1 Br 1.47
H3 0.0800 0.2650 0.0958  1 Bi 1.89
H4 0.2650 0.0958 0.0800  1 Bi 1.89
Br1 0.7077 0.3088 0.1884  1 H 1.47
H5 0.7350 0.9042 0.9200  1 Bi 1.89
H6 0.7652 0.1070 0.5325  1 Br 1.47
H7 0.9200 0.7350 0.9042  1 Bi 1.89
Br2 0.8116 0.2923 0.6912  1 H 1.47
Br3 0.1884 0.7077 0.3088  1 H 1.47
H8 0.9042 0.9200 0.7350  1 Bi 1.89
Br4 0.3088 0.1884 0.7077  1 H 1.47
Br5 0.6912 0.8116 0.2923  1 H 1.47
Bi1 0.0000 0.0000 0.0000  6 H 1.89
H9 0.4675 0.2348 0.8930  1 Br 1.47
H10 0.5325 0.7652 0.1070  1 Br 1.47
H11 0.8930 0.4675 0.2348  1 Br 1.47
Br6 0.2923 0.6912 0.8116  1 H 1.47
H12 0.2348 0.8930 0.4675  1 Br 1.47

Values from the calculation:
Its calculated total energy is -2.647 eV per atom.

=====

# Y2HoTm4Sc

Y2HoTm4Sc after structural relaxation (GGA-PBE, the Alexandria database).

Unit cell a=4.9273 b=4.9268 c=11.0326 alpha=63.47 beta=90.00 gamma=90.00
With the nearest neighbours (Å) after each atom.
Positions (direct):
Tm1 0.0000 0.7544 0.7458  2 Sc 3.46, 4 Y 3.46-3.52, 4 Tm 3.48-3.49, 2 Ho 3.52
Y1 0.0000 0.0000 0.0000  4 Ho 3.48, 8 Tm 3.52
Sc1 0.0000 0.5000 0.5000  8 Tm 3.46, 4 Y 3.48
Ho1 0.5000 0.5000 0.0000  4 Y 3.48, 8 Tm 3.52
Tm2 0.0000 0.2456 0.2542  2 Sc 3.46, 4 Y 3.46-3.52, 4 Tm 3.48-3.49, 2 Ho 3.52
Tm3 0.5000 0.7460 0.2542  4 Y 3.46-3.52, 2 Sc 3.46, 4 Tm 3.48-3.49, 2 Ho 3.52
Y2 0.5000 0.0000 0.5000  8 Tm 3.46, 4 Sc 3.48
Tm4 0.5000 0.2540 0.7458  4 Y 3.46-3.52, 2 Sc 3.46, 4 Tm 3.48-3.49, 2 Ho 3.52

Values from the calculation:
The formation energy is 31 kJ/mol of formula units.

=====

# Y2AsW

Y2AsW after structural relaxation (GGA-PBE, the Alexandria database).

Unit cell a=4.9087 b=4.9087 c=4.9087 alpha=60.00 beta=60.00 gamma=60.00
With the nearest neighbours (Å) after each atom.
Positions (direct):
W1 0.7500 0.7500 0.7500  4 As 3.01, 4 Y 3.01
Y1 0.2500 0.2500 0.2500  4 As 3.01, 4 Y 3.01
Y2 0.0000 0.0000 0.0000  4 W 3.01, 4 Y 3.01
As1 0.5000 0.5000 0.5000  4 W 3.01, 4 Y 3.01

Values from the calculation:
The formation energy is 125 kJ/mol of formula units.

=====

# SrLi2Al

SrLi2Al after structural relaxation (GGA-PBE, the Alexandria database).

Unit cell a=4.7296 b=4.7296 c=5.9261 alpha=66.58 beta=66.58 gamma=59.85
With the nearest neighbours (Å) after each atom.
Positions (direct):
Sr1 0.7500 0.7500 0.7500  8 Li 3.24-3.40
Li1 0.5450 0.5450 0.3656  3 Al 2.79-2.80, 3 Li 2.99
Al1 0.2500 0.2500 0.2500  6 Li 2.79-2.80
Li2 0.9550 0.9550 0.1344  3 Al 2.79-2.80, 3 Li 2.99

Values from the calculation:
The formation energy is -23 kJ/mol of formula units.